# 1
First-principles (GGA-PBE) data for crystalline Lu2MgMo at its relaxed geometry, as listed in OQMD via LeMat-Bulk.

The structure in extended XYZ format:
```
4
Lattice="0.000 3.514 3.514 3.514 0.000 3.514 3.514 3.514 0.000" Properties=species:S:1:pos:R:3 pbc="T T T"
Lu 0.000 0.000 0.000
Lu 1.757 1.757 1.757
Mg 3.514 3.514 3.514
Mo 5.271 5.271 5.271
```

- space group = F-43m (216)



# 2
First-principles (GGA-PBE) data for crystalline RbZrHg3O4 at its relaxed geometry, as listed in OQMD via LeMat-Bulk.

The structure in extended XYZ format:
```
9
Lattice="6.041 0.000 0.000 0.000 6.041 0.000 0.000 0.000 6.041" Properties=species:S:1:pos:R:3 pbc="T T T"
Rb 0.000 0.000 0.000
Zr 3.021 3.021 3.021
Hg 0.000 3.021 3.021
Hg 3.021 0.000 3.021
Hg 3.021 3.021 0.000
O 1.850 1.850 1.850
O 1.850 4.192 4.192
O 4.192 1.850 4.192
O 4.192 4.192 1.850
```

- space group = P-43m (215)



# 3
First-principles (GGA-PBE) data for crystalline YZrGe2 at its relaxed geometry, as listed in OQMD via LeMat-Bulk.

The structure in extended XYZ format:
```
4
Lattice="0.000 3.503 3.503 3.503 0.000 3.503 3.503 3.503 0.000" Properties=species:S:1:pos:R:3 pbc="T T T"
Y 0.000 0.000 0.000
Zr 1.752 1.752 1.752
Ge 3.503 3.503 3.503
Ge 5.255 5.255 5.255
```

- space group = F-43m (216)



| no. | electronic total energy (Ha/atom) |
| --- | --- |
| 1 | -0.1833 |
| 2 | -0.1633 |
| 3 | -0.2201 |